1.
# Tb2AlGa3Pd4, optimized geometry, DFT PBE
# SG	No. 115
# formation enthalpy at 0 K	-810	meV per atom
data_Tb2AlGa3Pd4
_chemical_formula_sum 'Tb2 Al1 Ga3 Pd4'
_cell_length_a 4.070
_cell_length_b 4.070
_cell_length_c 11.250
_cell_angle_alpha 90.00
_cell_angle_beta 90.00
_cell_angle_gamma 90.00
_space_group_name_H-M_alt 'P 1'
_space_group_IT_number 1
_space_group_name_Hall 'P 1'
loop_
_atom_site_label
_atom_site_type_symbol
_atom_site_fract_x
_atom_site_fract_y
_atom_site_fract_z
Ga1 Ga 0.500 0.000 0.865
Pd1 Pd 0.000 0.000 0.000
Pd2 Pd 0.500 0.500 0.000
Pd3 Pd 0.500 0.000 0.641
Al1 Al 0.500 0.500 0.500
Ga2 Ga 0.000 0.000 0.500
Tb1 Tb 0.500 0.000 0.250
Ga3 Ga 0.000 0.500 0.135
Tb2 Tb 0.000 0.500 0.750
Pd4 Pd 0.000 0.500 0.359

2.
# TbSmInAu, optimized geometry, DFT PBE
# energy above the lowest structure with this stoichiometry	65	meV/atom
# SG	No. 216
# formation enthalpy at 0 K	-591	meV per atom
data_TbSmInAu
_chemical_formula_sum 'Tb1 Sm1 In1 Au1'
_cell_length_a 5.290
_cell_length_b 5.290
_cell_length_c 5.290
_cell_angle_alpha 60.00
_cell_angle_beta 60.00
_cell_angle_gamma 60.00
_space_group_name_H-M_alt 'P 1'
_space_group_IT_number 1
_space_group_name_Hall 'P 1'
loop_
_atom_site_label
_atom_site_type_symbol
_atom_site_fract_x
_atom_site_fract_y
_atom_site_fract_z
Au1 Au 0.000 0.000 0.000
In1 In 0.500 0.500 0.500
Tb1 Tb 0.750 0.750 0.750
Sm1 Sm 0.250 0.250 0.250

3.
# PrSm6DyHo2, optimized geometry, DFT PBE
# SG	No. 15
# formation enthalpy at 0 K	117	meV per atom
data_PrSm6DyHo2
_chemical_formula_sum 'Pr2 Sm12 Dy2 Ho4'
_cell_length_a 9.624
_cell_length_b 8.900
_cell_length_c 8.900
_cell_angle_alpha 117.33
_cell_angle_beta 93.51
_cell_angle_gamma 93.51
_space_group_name_H-M_alt 'P 1'
_space_group_IT_number 1
_space_group_name_Hall 'P 1'
loop_
_atom_site_label
_atom_site_type_symbol
_atom_site_fract_x
_atom_site_fract_y
_atom_site_fract_z
Ho1 Ho 0.048 0.302 0.202
Pr1 Pr 0.750 0.029 0.971
Pr2 Pr 0.250 0.971 0.029
Sm1 Sm 0.684 0.012 0.562
Sm2 Sm 0.444 0.244 0.882
Sm3 Sm 0.316 0.988 0.438
Dy1 Dy 0.250 0.410 0.590
Sm4 Sm 0.382 0.513 0.293
Sm5 Sm 0.556 0.756 0.118
Sm6 Sm 0.118 0.707 0.487
Dy2 Dy 0.750 0.590 0.410
Ho2 Ho 0.548 0.202 0.302
Sm7 Sm 0.056 0.118 0.756
Ho3 Ho 0.452 0.798 0.698
Sm8 Sm 0.816 0.438 0.988
Sm9 Sm 0.882 0.293 0.513
Sm10 Sm 0.618 0.487 0.707
Sm11 Sm 0.944 0.882 0.244
Sm12 Sm 0.184 0.562 0.012
Ho4 Ho 0.952 0.698 0.798

4.
# BaAc2CuS5, optimized geometry, DFT PBE
# SG	No. 140
# formation energy (no corrections)	-1706	meV/atom
data_BaAc2CuS5
_chemical_formula_sum 'Ba2 Ac4 Cu2 S10'
_cell_length_a 8.187
_cell_length_b 8.187
_cell_length_c 8.980
_cell_angle_alpha 117.12
_cell_angle_beta 117.12
_cell_angle_gamma 90.00
_space_group_name_H-M_alt 'P 1'
_space_group_IT_number 1
_space_group_name_Hall 'P 1'
loop_
_atom_site_label
_atom_site_type_symbol
_atom_site_fract_x
_atom_site_fract_y
_atom_site_fract_z
S1 S 0.215 0.008 0.723
Cu1 Cu 0.750 0.250 0.500
S2 S 0.785 0.992 0.277
Ac1 Ac 0.838 0.662 0.000
Ac2 Ac 0.162 0.338 0.000
S3 S 0.500 0.500 0.000
Ac3 Ac 0.338 0.838 0.000
Ba1 Ba 0.250 0.250 0.500
S4 S 0.715 0.215 0.723
Cu2 Cu 0.250 0.750 0.500
S5 S 0.492 0.285 0.277
S6 S 0.992 0.492 0.277
S7 S 0.008 0.508 0.723
Ba2 Ba 0.750 0.750 0.500
S8 S 0.285 0.785 0.277
S9 S 0.000 0.000 0.000
Ac4 Ac 0.662 0.162 0.000
S10 S 0.508 0.715 0.723

5.
# Cd3Rh5, optimized geometry, DFT PBE
# energy above the lowest structure with this stoichiometry	0	meV/atom
# SG	No. 65
# formation enthalpy at 0 K	62	meV per atom
data_Cd3Rh5
_chemical_formula_sum 'Cd3 Rh5'
_cell_length_a 5.659
_cell_length_b 5.659
_cell_length_c 4.054
_cell_angle_alpha 90.00
_cell_angle_beta 90.00
_cell_angle_gamma 94.26
_space_group_name_H-M_alt 'P 1'
_space_group_IT_number 1
_space_group_name_Hall 'P 1'
loop_
_atom_site_label
_atom_site_type_symbol
_atom_site_fract_x
_atom_site_fract_y
_atom_site_fract_z
Cd1 Cd 0.751 0.249 0.500
Rh1 Rh 0.000 0.000 0.000
Cd2 Cd 0.249 0.751 0.500
Rh2 Rh 0.000 0.500 0.000
Rh3 Rh 0.762 0.762 0.500
Rh4 Rh 0.238 0.238 0.500
Rh5 Rh 0.500 0.000 0.000
Cd3 Cd 0.500 0.500 0.000

6.
# CoSnAs2, optimized geometry, DFT PBE
# SG	No. 166
# formation enthalpy at 0 K	596	meV per atom
data_CoSnAs2
_chemical_formula_sum 'Co1 Sn1 As2'
_cell_length_a 3.832
_cell_length_b 3.832
_cell_length_c 8.139
_cell_angle_alpha 76.38
_cell_angle_beta 76.38
_cell_angle_gamma 60.00
_space_group_name_H-M_alt 'P 1'
_space_group_IT_number 1
_space_group_name_Hall 'P 1'
loop_
_atom_site_label
_atom_site_type_symbol
_atom_site_fract_x
_atom_site_fract_y
_atom_site_fract_z
Co1 Co 0.000 0.000 0.000
Sn1 Sn 0.500 0.500 0.500
As1 As 0.904 0.904 0.288
As2 As 0.096 0.096 0.712

7.
# Np3Se4, optimized geometry, DFT PBE
# energy above the lowest structure with this stoichiometry	0	meV/atom
# SG	No. 220
# formation energy (no corrections)	-1176	meV/atom
data_Np3Se4
_chemical_formula_sum 'Np6 Se8'
_cell_length_a 7.535
_cell_length_b 7.535
_cell_length_c 7.535
_cell_angle_alpha 109.47
_cell_angle_beta 109.47
_cell_angle_gamma 109.47
_space_group_name_H-M_alt 'P 1'
_space_group_IT_number 1
_space_group_name_Hall 'P 1'
loop_
_atom_site_label
_atom_site_type_symbol
_atom_site_fract_x
_atom_site_fract_y
_atom_site_fract_z
Np1 Np 0.875 0.250 0.125
Se1 Se 0.000 0.650 0.500
Se2 Se 0.850 0.850 0.850
Se3 Se 0.650 0.500 0.000
Se4 Se 0.500 0.000 0.650
Se5 Se 0.150 0.500 0.000
Se6 Se 0.000 0.150 0.500
Np2 Np 0.625 0.750 0.375
Np3 Np 0.125 0.875 0.250
Np4 Np 0.375 0.625 0.750
Se7 Se 0.350 0.350 0.350
Se8 Se 0.500 0.000 0.150
Np5 Np 0.750 0.375 0.625
Np6 Np 0.250 0.125 0.875

8.
# Ba8TlPt2Au, optimized geometry, DFT PBE
# SG	No. 10
# formation enthalpy at 0 K	-489	meV per atom
data_Ba8TlPt2Au
_chemical_formula_sum 'Ba8 Tl1 Pt2 Au1'
_cell_length_a 7.970
_cell_length_b 7.664
_cell_length_c 9.670
_cell_angle_alpha 90.00
_cell_angle_beta 90.00
_cell_angle_gamma 89.65
_space_group_name_H-M_alt 'P 1'
_space_group_IT_number 1
_space_group_name_Hall 'P 1'
loop_
_atom_site_label
_atom_site_type_symbol
_atom_site_fract_x
_atom_site_fract_y
_atom_site_fract_z
Ba1 Ba 0.654 0.718 0.500
Ba2 Ba 0.186 0.755 0.236
Ba3 Ba 0.346 0.282 0.500
Ba4 Ba 0.186 0.755 0.764
Pt1 Pt 0.500 0.500 0.247
Ba5 Ba 0.814 0.245 0.236
Au1 Au 0.000 0.000 0.000
Ba6 Ba 0.814 0.245 0.764
Pt2 Pt 0.500 0.500 0.753
Ba7 Ba 0.333 0.277 0.000
Tl1 Tl 0.000 0.000 0.500
Ba8 Ba 0.667 0.723 0.000

9.
# BaIr2Cl, optimized geometry, DFT PBE
# energy above the lowest structure with this stoichiometry	83	meV/atom
# SG	No. 6
# formation energy (no corrections)	-243	meV/atom
data_BaIr2Cl
_chemical_formula_sum 'Ba1 Ir2 Cl1'
_cell_length_a 3.579
_cell_length_b 3.484
_cell_length_c 8.983
_cell_angle_alpha 70.99
_cell_angle_beta 90.00
_cell_angle_gamma 90.00
_space_group_name_H-M_alt 'P 1'
_space_group_IT_number 1
_space_group_name_Hall 'P 1'
loop_
_atom_site_label
_atom_site_type_symbol
_atom_site_fract_x
_atom_site_fract_y
_atom_site_fract_z
Cl1 Cl 0.500 0.856 0.696
Ir1 Ir 0.500 0.276 0.195
Ir2 Ir 0.000 0.839 0.120
Ba1 Ba 0.000 0.529 0.489

10.
# Ba3ScB2O8, optimized geometry, DFT PBE
# SG	No. 164
# formation energy (no corrections)	-2704	meV/atom
data_Ba3ScB2O8
_chemical_formula_sum 'Ba3 Sc1 B2 O8'
_cell_length_a 5.503
_cell_length_b 5.503
_cell_length_c 7.257
_cell_angle_alpha 90.00
_cell_angle_beta 90.00
_cell_angle_gamma 120.00
_space_group_name_H-M_alt 'P 1'
_space_group_IT_number 1
_space_group_name_Hall 'P 1'
loop_
_atom_site_label
_atom_site_type_symbol
_atom_site_fract_x
_atom_site_fract_y
_atom_site_fract_z
Ba1 Ba 0.000 0.000 0.000
B1 B 0.667 0.333 0.741
B2 B 0.333 0.667 0.259
Sc1 Sc 0.000 0.000 0.500
O1 O 0.667 0.333 0.941
O2 O 0.366 0.183 0.670
Ba2 Ba 0.333 0.667 0.694
O3 O 0.333 0.667 0.059
Ba3 Ba 0.667 0.333 0.306
O4 O 0.634 0.817 0.330
O5 O 0.183 0.366 0.330
O6 O 0.183 0.817 0.330
O7 O 0.817 0.183 0.670
O8 O 0.817 0.634 0.670

11.
# PuGa4Au2, optimized geometry, DFT PBE
# SG	No. 62
# formation enthalpy at 0 K	-374	meV per atom
data_PuGa4Au2
_chemical_formula_sum 'Pu4 Ga16 Au8'
_cell_length_a 4.492
_cell_length_b 6.892
_cell_length_c 17.417
_cell_angle_alpha 90.00
_cell_angle_beta 90.00
_cell_angle_gamma 90.00
_space_group_name_H-M_alt 'P 1'
_space_group_IT_number 1
_space_group_name_Hall 'P 1'
loop_
_atom_site_label
_atom_site_type_symbol
_atom_site_fract_x
_atom_site_fract_y
_atom_site_fract_z
Ga1 Ga 0.250 0.679 0.683
Pu1 Pu 0.750 0.984 0.641
Au1 Au 0.250 0.529 0.286
Pu2 Pu 0.750 0.516 0.141
Ga2 Ga 0.250 0.229 0.187
Ga3 Ga 0.250 0.271 0.687
Pu3 Pu 0.250 0.016 0.359
Au2 Au 0.750 0.029 0.214
Au3 Au 0.250 0.757 0.532
Ga4 Ga 0.750 0.534 0.565
Ga5 Ga 0.250 0.150 0.540
Ga6 Ga 0.250 0.466 0.435
Ga7 Ga 0.250 0.821 0.183
Ga8 Ga 0.750 0.321 0.317
Ga9 Ga 0.750 0.850 0.460
Ga10 Ga 0.750 0.179 0.817
Ga11 Ga 0.250 0.350 0.040
Ga12 Ga 0.750 0.771 0.813
Ga13 Ga 0.250 0.034 0.935
Au4 Au 0.250 0.971 0.786
Pu4 Pu 0.250 0.484 0.859
Au5 Au 0.750 0.243 0.468
Ga14 Ga 0.750 0.729 0.313
Au6 Au 0.250 0.743 0.032
Au7 Au 0.750 0.257 0.968
Au8 Au 0.750 0.471 0.714
Ga15 Ga 0.750 0.966 0.065
Ga16 Ga 0.750 0.650 0.960

12.
# BaAlAs, optimized geometry, DFT PBE
# SG	No. 107
# formation enthalpy at 0 K	-421	meV per atom
data_BaAlAs
_chemical_formula_sum 'Ba1 Al1 As1'
_cell_length_a 6.445
_cell_length_b 6.444
_cell_length_c 3.701
_cell_angle_alpha 73.33
_cell_angle_beta 73.30
_cell_angle_gamma 33.37
_space_group_name_H-M_alt 'P 1'
_space_group_IT_number 1
_space_group_name_Hall 'P 1'
loop_
_atom_site_label
_atom_site_type_symbol
_atom_site_fract_x
_atom_site_fract_y
_atom_site_fract_z
Ba1 Ba 0.668 0.668 0.332
Al1 Al 0.957 0.957 0.043
As1 As 0.375 0.375 0.625

One value per record, in order, for energy: -50.95 -17.73 -91.36 -100.45 -39.01 -18.02 -121.98 -38.97 -22.46 -102.97 -142.45 -11.58 eV per cell.
One value per record, in order, for magnetization: 0.00 0.11 0.00 0.01 0.00 1.77 26.00 0.00 0.00 1.05 21.87 0.00 μB per cell.